First-principles (PBE) data for a relaxed structure of KNaAu2F8, as listed in Alexandria via LeMat-Bulk.

Properties
Spin magnetization   0.00 μB per cell
ΔE_f (raw)   -1.693 eV/atom
Density   5.18 g cm⁻³
Raw total energy   -3.688 eV per atom

Lattice parameters (Å, degrees): 6.020 6.020 10.753 90.00 90.00 90.00
Space group I-4 (No. 82)
Unique sites:
1 K 0.000 0.000 0.000 (multiplicity 2)
2 Na 0.000 0.500 0.750 (multiplicity 2)
3 Au 0.000 0.000 0.500 (multiplicity 2)
4 Au 0.000 0.500 0.250 (multiplicity 2)
5 F 0.100 0.310 0.508 (multiplicity 8)
6 F 0.158 0.212 0.245 (multiplicity 8)